## CsAsCl6 (PBE-GGA)

Data for a geometry-optimized CsAsCl6 structure.

Structure (POSCAR):
```
CsAsCl6
1.0
6.660 1.182 1.787
-1.807 6.522 1.790
1.008 1.605 6.629
Cl As Cs
6 1 1
Cartesian
3.748 5.956 4.589
5.932 3.043 6.958
5.685 2.641 3.246
-0.070 6.267 3.248
2.113 3.354 5.617
0.177 6.669 6.960
0.000 0.000 0.000
2.426 3.852 1.788
```



## CaMoSe (PBE-GGA)

Data for a geometry-optimized CaMoSe structure.

Structure (POSCAR):
```
CaMoSe
1.0
-2.835 -2.566 -2.369
1.273 -4.095 -1.358
-1.824 -3.659 1.876
Mo Ca Se
1 1 1
Cartesian
-1.693 -5.160 -0.926
0.000 0.000 0.000
-2.539 -7.741 -1.388
```

Fermi-level density of states: 2.4 states/eV per cell



## CaB3F12 (PBE-GGA)

Data for a geometry-optimized CaB3F12 structure.

Structure (POSCAR):
```
CaB3F12
1.0
5.700 0.000 0.000
0.000 8.309 -4.797
0.000 0.000 9.594
F B Ca
24 6 2
Cartesian
2.582 6.794 1.143
1.425 1.930 0.467
3.118 1.515 3.654
4.275 1.370 8.156
4.275 0.560 1.905
0.268 6.794 1.143
4.275 3.676 -1.603
3.118 4.387 4.282
4.275 5.083 2.415
1.425 6.939 -3.359
0.268 3.922 0.515
1.425 0.450 5.609
5.432 2.407 6.456
1.425 7.749 2.892
4.275 7.859 -0.812
4.275 6.379 4.330
1.425 3.226 2.382
3.118 2.407 6.456
0.268 5.902 -1.658
2.582 3.922 0.515
5.432 4.387 4.282
2.582 5.902 -1.658
5.432 1.515 3.654
1.425 4.633 6.400
4.275 2.449 7.283
1.425 5.860 -2.486
1.425 3.227 0.965
1.425 7.532 1.520
4.275 0.777 3.277
4.275 5.082 3.832
4.275 5.539 0.000
1.425 2.770 4.797
```

Fermi-level density of states: 32.5 states/eV per cell



## Nd8Sb2C3 (PBE-GGA)

Data for a geometry-optimized Nd8Sb2C3 structure.

Structure (POSCAR):
```
Nd8Sb2C3
1.0
6.686 0.000 0.229
0.000 7.532 0.000
-2.431 -3.766 7.400
Nd C Sb
8 3 2
Cartesian
2.100 1.958 6.157
-1.285 3.766 6.017
5.728 3.766 1.677
2.154 5.724 1.472
2.154 1.808 1.472
2.100 -1.958 6.157
-1.473 0.000 5.952
5.540 0.000 1.612
0.000 5.636 0.000
0.000 1.896 0.000
3.343 0.000 0.114
0.922 0.000 3.831
3.333 3.766 3.798
```

Fermi-level density of states: 10.0 states/eV per cell



Which total DFT energy (no corrections) belongs to each record? In order, -2.94; -5.29; -5.65; -6.06 eV/atom.
Which ΔE_f (raw) belongs to each record? In order, -670.0; 44.1; -4430.0; -457.7 kJ/mol of formula units.